A plane-wave DFT calculation with GGA+U was carried out for crystalline Co2SnF at its relaxed geometry.

Cell: 4.651 4.651 7.465 Å, 71.85 71.85 90.00°
Each line ends with the local moment (μB).
Fractional positions:
Co  0.875  0.700  0.750  1.95
Co  0.375  0.550  0.750  1.93
Sn  0.000  0.000  0.000  -0.18
Co  0.450  0.125  0.250  2.02
Co  0.300  0.625  0.250  2.03
F  0.250  0.750  0.500  0.00
Sn  0.750  0.250  0.500  -0.17
F  0.500  0.500  0.000  0.00

Properties
Distance to the lowest polymorph of the same formula   0.00 eV per formula unit
Theoretical density   5.854 g/cm³
Raw total energy   -3.9205 eV per atom